NbIrNF2 | PBE | relaxed

```
NbIrNF2
1.0
4.096 0.000 0.000
0.000 4.096 0.000
0.000 0.000 4.119
Nb Ir N F
1 1 1 2
Direct
0.000 0.000 0.000 Nb
0.500 0.500 0.500 Ir
0.000 0.000 0.500 N
0.000 0.500 0.000 F
0.500 0.000 0.000 F
```

Offset from the most stable computed form (eV per atom): 0.000
Space group: P4/mmm (123)
Formation energy without anion corrections (eV per atom): -0.2068
Crystal system: tetragonal